LaB6N6 | PBE | optimized geometry

Values from the calculation:
E_tot: -7.461 eV/atom
Total magnetization: 0.000 μB/f.u.
Crystal system: cubic

a b c (Å): 4.7176 4.7176 4.7176
angles (deg): 90.00 90.00 90.00
With the nearest neighbours (Å) after each atom.
Element x y z (fractional)
La: 0.0000 0.0000 0.0000  12 B 2.61, 12 N 2.64
B: 0.0000 0.2389 0.5000  4 N 1.63-1.71
B: 0.0000 0.7611 0.5000  4 N 1.63-1.71
B: 0.2389 0.5000 0.0000  4 N 1.63-1.71
B: 0.5000 0.0000 0.2389  4 N 1.63-1.71
B: 0.5000 0.0000 0.7611  4 N 1.63-1.71
B: 0.7611 0.5000 0.0000  4 N 1.63-1.71
N: 0.0000 0.5000 0.2497  4 B 1.63-1.71
N: 0.0000 0.5000 0.7503  4 B 1.63-1.71
N: 0.2497 0.0000 0.5000  4 B 1.63-1.71
N: 0.5000 0.2497 0.0000  4 B 1.63-1.71
N: 0.5000 0.7503 0.0000  4 B 1.63-1.71
N: 0.7503 0.0000 0.5000  4 B 1.63-1.71

La2B2N3 | PBE | optimized geometry

Values from the calculation:
E_tot: -7.682 eV/atom
Total magnetization: 0.000 μB/f.u.
Crystal system: monoclinic

a b c (Å): 5.6664 5.6664 5.2435
angles (deg): 94.49 94.49 30.43
With the nearest neighbours (Å) after each atom.
Element x y z (fractional)
La: 0.1332 0.1332 0.2319  6 N 2.58-2.69
La: 0.8668 0.8668 0.7681  6 N 2.58-2.69
B: 0.3989 0.3989 0.3023  1 N 1.45
B: 0.6011 0.6011 0.6977  1 N 1.45
N: 0.1688 0.1688 0.7456  2 B 1.67
N: 0.5000 0.5000 0.5000  2 B 1.45
N: 0.8312 0.8312 0.2544  2 B 1.67

LaB2N | PBE | optimized geometry

Values from the calculation:
E_tot: -6.588 eV/atom
Total magnetization: 0.000 μB/f.u.
Crystal system: tetragonal

a b c (Å): 8.3984 8.3984 8.3984
angles (deg): 155.43 155.43 35.02
With the nearest neighbours (Å) after each atom.
Element x y z (fractional)
La: 0.3750 0.6250 0.7500  4 N 2.53, 8 B 2.83
La: 0.6250 0.3750 0.2500  4 N 2.53, 8 B 2.83
B: 0.0000 0.0000 0.0000  2 B 1.79
B: 0.0000 0.0000 0.5000  2 B 1.79
B: 0.0000 0.5000 0.0000  2 B 1.79
B: 0.5000 0.0000 0.5000  2 B 1.79
N: 0.1250 0.8750 0.2500  4 B 2.19
N: 0.8750 0.1250 0.7500  4 B 2.19

La4B2N5 | PBE | optimized geometry

Values from the calculation:
E_tot: -8.141 eV/atom
Total magnetization: 0.000 μB/f.u.
Crystal system: monoclinic

a b c (Å): 6.5886 6.5886 9.1807
angles (deg): 127.68 127.68 32.50
With the nearest neighbours (Å) after each atom.
Element x y z (fractional)
La: 0.0767 0.0767 0.3441  6 N 2.52-2.66
La: 0.3122 0.3122 0.8862  7 N 2.46-2.75
La: 0.6878 0.6878 0.1138  7 N 2.46-2.75
La: 0.9233 0.9233 0.6559  6 N 2.52-2.66
B: 0.4114 0.4114 0.3901  2 N 1.48-1.49
B: 0.5886 0.5886 0.6099  2 N 1.48-1.49
N: 0.0000 0.0000 0.0000  6 La 2.64-2.65
N: 0.2994 0.2994 0.4005  1 B 1.48
N: 0.3826 0.3826 0.2057  1 B 1.49
N: 0.6174 0.6174 0.7943  1 B 1.49
N: 0.7006 0.7006 0.5995  1 B 1.48

La5B4N9 | PBE | optimized geometry

Values from the calculation:
E_tot: -8.402 eV/atom
Total magnetization: 0.000 μB/f.u.
Crystal system: orthorhombic

a b c (Å): 9.8119 12.6608 7.7213
angles (deg): 90.00 90.00 90.00
With the nearest neighbours (Å) after each atom.
Element x y z (fractional)
La: 0.0054 0.0047 0.2500  4 N 2.40-2.54
La: 0.0054 0.4953 0.7500  4 N 2.40-2.54
La: 0.0101 0.2500 0.0000  8 N 2.57-2.83, 2 B 2.87
La: 0.0101 0.2500 0.5000  8 N 2.57-2.83, 2 B 2.87
La: 0.3451 0.0848 0.0034  4 N 2.47-2.70
La: 0.3451 0.0848 0.4966  4 N 2.47-2.70
La: 0.3451 0.4152 0.5034  4 N 2.47-2.70
La: 0.3451 0.4152 0.9966  4 N 2.47-2.70
La: 0.3608 0.6781 0.7500  5 N 2.49-2.70
La: 0.3608 0.8219 0.2500  5 N 2.49-2.70
La: 0.6392 0.1781 0.7500  5 N 2.49-2.70
La: 0.6392 0.3219 0.2500  5 N 2.49-2.70
La: 0.6549 0.5848 0.0034  4 N 2.47-2.70
La: 0.6549 0.5848 0.4966  4 N 2.47-2.70
La: 0.6549 0.9152 0.5034  4 N 2.47-2.70
La: 0.6549 0.9152 0.9966  4 N 2.47-2.70
La: 0.9899 0.7500 0.0000  8 N 2.57-2.83, 2 B 2.87
La: 0.9899 0.7500 0.5000  8 N 2.57-2.83, 2 B 2.87
La: 0.9946 0.5047 0.2500  4 N 2.40-2.54
La: 0.9946 0.9953 0.7500  4 N 2.40-2.54
B: 0.2259 0.6291 0.0937  3 N 1.43-1.50
B: 0.2259 0.6291 0.4063  3 N 1.43-1.50
B: 0.2259 0.8709 0.5937  3 N 1.43-1.50
B: 0.2259 0.8709 0.9063  3 N 1.43-1.50
B: 0.2445 0.2410 0.7500  3 N 1.47-1.49
B: 0.2445 0.2590 0.2500  3 N 1.47-1.49
B: 0.4345 0.5856 0.2500  3 N 1.44-1.48
B: 0.4345 0.9144 0.7500  3 N 1.44-1.48
B: 0.5655 0.0856 0.2500  3 N 1.44-1.48
B: 0.5655 0.4144 0.7500  3 N 1.44-1.48
B: 0.7555 0.7410 0.7500  3 N 1.47-1.49
B: 0.7555 0.7590 0.2500  3 N 1.47-1.49
B: 0.7741 0.1291 0.0937  3 N 1.43-1.50
B: 0.7741 0.1291 0.4063  3 N 1.43-1.50
B: 0.7741 0.3709 0.5937  3 N 1.43-1.50
B: 0.7741 0.3709 0.9063  3 N 1.43-1.50
N: 0.1417 0.5865 0.5396  1 B 1.43
N: 0.1417 0.5865 0.9604  1 B 1.43
N: 0.1417 0.9135 0.0396  1 B 1.43
N: 0.1417 0.9135 0.4604  1 B 1.43
N: 0.1535 0.1466 0.7500  1 B 1.49
N: 0.1535 0.3534 0.2500  1 B 1.49
N: 0.1593 0.6762 0.2500  2 B 1.50
N: 0.1593 0.8238 0.7500  2 B 1.50
N: 0.1795 0.1529 0.2500  1 B 1.49
N: 0.1795 0.3471 0.7500  1 B 1.49
N: 0.3760 0.6202 0.0827  2 B 1.48
N: 0.3760 0.6202 0.4173  2 B 1.48
N: 0.3760 0.8798 0.5827  2 B 1.48
N: 0.3760 0.8798 0.9173  2 B 1.48
N: 0.3925 0.2249 0.7500  1 B 1.47
N: 0.3925 0.2751 0.2500  1 B 1.47
N: 0.4654 0.0022 0.2500  1 B 1.44
N: 0.4654 0.4978 0.7500  1 B 1.44
N: 0.5346 0.5022 0.2500  1 B 1.44
N: 0.5346 0.9978 0.7500  1 B 1.44
N: 0.6075 0.7249 0.7500  1 B 1.47
N: 0.6075 0.7751 0.2500  1 B 1.47
N: 0.6240 0.1202 0.0827  2 B 1.48
N: 0.6240 0.1202 0.4173  2 B 1.48
N: 0.6240 0.3798 0.5827  2 B 1.48
N: 0.6240 0.3798 0.9173  2 B 1.48
N: 0.8205 0.6529 0.2500  1 B 1.49
N: 0.8205 0.8471 0.7500  1 B 1.49
N: 0.8407 0.1762 0.2500  2 B 1.50
N: 0.8407 0.3238 0.7500  2 B 1.50
N: 0.8465 0.6466 0.7500  1 B 1.49
N: 0.8465 0.8534 0.2500  1 B 1.49
N: 0.8583 0.0865 0.5396  1 B 1.43
N: 0.8583 0.0865 0.9604  1 B 1.43
N: 0.8583 0.4135 0.0396  1 B 1.43
N: 0.8583 0.4135 0.4604  1 B 1.43

LaB3N3 | PBE | optimized geometry

Values from the calculation:
E_tot: -6.891 eV/atom
Total magnetization: 0.000 μB/f.u.
Crystal system: cubic

a b c (Å): 4.9065 4.9065 4.9065
angles (deg): 90.00 90.00 90.00
With the nearest neighbours (Å) after each atom.
Element x y z (fractional)
La: 0.0000 0.0000 0.0000  12 B 2.74, 12 N 2.74
La: 0.5000 0.5000 0.5000  12 B 2.74, 12 N 2.74
B: 0.0000 0.2500 0.5000  4 N 1.73
B: 0.0000 0.7500 0.5000  4 N 1.73
B: 0.2500 0.5000 0.0000  4 N 1.73
B: 0.5000 0.0000 0.2500  4 N 1.73
B: 0.5000 0.0000 0.7500  4 N 1.73
B: 0.7500 0.5000 0.0000  4 N 1.73
N: 0.0000 0.5000 0.2500  4 B 1.73
N: 0.0000 0.5000 0.7500  4 B 1.73
N: 0.2500 0.0000 0.5000  4 B 1.73
N: 0.5000 0.2500 0.0000  4 B 1.73
N: 0.5000 0.7500 0.0000  4 B 1.73
N: 0.7500 0.0000 0.5000  4 B 1.73

La2BN4 | PBE | optimized geometry

Values from the calculation:
E_tot: -7.364 eV/atom
Total magnetization: 0.029 μB/f.u.
Crystal system: tetragonal

a b c (Å): 7.7288 7.7288 7.7288
angles (deg): 154.37 154.37 36.57
With the nearest neighbours (Å) after each atom.
Element x y z (fractional)
La: 0.1434 0.1434 0.0000  9 N 2.49-2.71
La: 0.8566 0.8566 0.0000  9 N 2.49-2.71
B: 0.5000 0.5000 0.0000  4 N 1.71
N: 0.0000 0.5000 0.5000  2 B 1.71
N: 0.3183 0.3183 0.0000  5 La 2.49-2.57, 1 B 2.67
N: 0.5000 0.0000 0.5000  2 B 1.71
N: 0.6817 0.6817 0.0000  5 La 2.49-2.57, 1 B 2.67

La2BN3 | PBE | optimized geometry

Values from the calculation:
E_tot: -7.796 eV/atom
Total magnetization: 0.000 μB/f.u.
Crystal system: orthorhombic

a b c (Å): 6.2661 6.2661 6.2661
angles (deg): 147.35 137.14 54.90
With the nearest neighbours (Å) after each atom.
Element x y z (fractional)
La: 0.1452 0.1452 0.0000  3 N 2.39-2.52
La: 0.8548 0.8548 0.0000  3 N 2.39-2.52
B: 0.5000 0.5000 0.0000  2 N 1.42
N: 0.0000 0.5000 0.5000  2 B 2.29, 4 La 2.39
N: 0.3722 0.3722 0.0000  1 B 1.42
N: 0.6278 0.6278 0.0000  1 B 1.42

La5BN6 | PBE | optimized geometry

Values from the calculation:
E_tot: -7.800 eV/atom
Total magnetization: 0.000 μB/f.u.
Crystal system: monoclinic

a b c (Å): 7.0596 7.0596 6.9564
angles (deg): 96.79 96.79 125.50
With the nearest neighbours (Å) after each atom.
Element x y z (fractional)
La: 0.0000 0.0000 0.0000  4 N 2.52
La: 0.1294 0.8706 0.5000  4 N 2.32-2.57
La: 0.3003 0.6997 0.0000  4 N 2.35-2.45
La: 0.6997 0.3003 0.0000  4 N 2.35-2.45
La: 0.8706 0.1294 0.5000  4 N 2.32-2.57
B: 0.5000 0.5000 0.5000  2 N 1.37
N: 0.0343 0.7158 0.1607  4 La 2.32-2.52
N: 0.2817 0.2817 0.4339  1 B 1.37
N: 0.2842 0.9657 0.8393  4 La 2.32-2.52
N: 0.7158 0.0343 0.1607  4 La 2.32-2.52
N: 0.7183 0.7183 0.5661  1 B 1.37
N: 0.9657 0.2842 0.8393  4 La 2.32-2.52

LaB3N | PBE | optimized geometry

Values from the calculation:
Total magnetization: 1.267 μB/f.u.
Energy relative to the lowest polymorph listed for this composition: 1824.9 meV/atom
Crystal system: cubic

a b c (Å): 5.0691 5.0691 5.0691
angles (deg): 90.00 90.00 90.00
With the nearest neighbours (Å) after each atom.
Element x y z (fractional)
La: 0.0000 0.0000 0.0000  6 B 2.53
B: 0.0000 0.0000 0.5000  2 La 2.53
B: 0.0000 0.5000 0.0000  2 La 2.53
B: 0.5000 0.0000 0.0000  2 La 2.53
N: 0.5000 0.5000 0.5000  12 B 3.58

La3BN4 | PBE | optimized geometry

Values from the calculation:
E_tot: -7.710 eV/atom
Total magnetization: 0.000 μB/f.u.
Crystal system: orthorhombic

a b c (Å): 7.2445 6.5923 5.4545
angles (deg): 90.00 90.00 90.00
With the nearest neighbours (Å) after each atom.
Element x y z (fractional)
La: 0.0000 0.0885 0.0000  3 N 2.33-2.57
La: 0.2359 0.3445 0.4925  3 N 2.31-2.43
La: 0.2641 0.6555 0.9925  3 N 2.31-2.43
La: 0.5000 0.9115 0.5000  3 N 2.33-2.57
La: 0.7359 0.6555 0.9925  3 N 2.31-2.43
La: 0.7641 0.3445 0.4925  3 N 2.31-2.43
B: 0.0000 0.8322 0.4719  4 N 1.62-1.66
B: 0.5000 0.1678 0.9719  4 N 1.62-1.66
N: 0.0000 0.0834 0.4966  1 B 1.66
N: 0.0000 0.7697 0.1849  1 B 1.62
N: 0.1913 0.7358 0.5893  1 B 1.65
N: 0.3087 0.2642 0.0893  1 B 1.65
N: 0.5000 0.2303 0.6849  1 B 1.62
N: 0.5000 0.9166 0.9966  1 B 1.66
N: 0.6913 0.2642 0.0893  1 B 1.65
N: 0.8087 0.7358 0.5893  1 B 1.65

LaBN | PBE | optimized geometry

Values from the calculation:
Total magnetization: 0.000 μB/f.u.
Energy relative to the lowest polymorph listed for this composition: 355.4 meV/atom
Crystal system: tetragonal

a b c (Å): 4.3481 4.3481 4.3481
angles (deg): 125.66 125.66 80.45
With the nearest neighbours (Å) after each atom.
Element x y z (fractional)
La: 0.0000 0.0000 0.0000  5 N 2.60-2.90, 5 B 2.72-2.87
B: 0.4095 0.4095 0.0000  1 N 1.32
N: 0.6089 0.6089 0.0000  1 B 1.32